# 1
Here is crystalline BaZn8P6 at its relaxed geometry from the Alexandria database. Energies are from PBE.

```
data_BaZn8P6
_cell_length_a 6.990
_cell_length_b 6.990
_cell_length_c 8.828
_cell_angle_alpha 66.68
_cell_angle_beta 66.68
_cell_angle_gamma 60.00
_space_group_name_H-M_alt 'P 1'
_space_group_IT_number 1
loop_
_space_group_symop_operation_xyz
'x,y,z'
loop_
_atom_site_label
_atom_site_type_symbol
_atom_site_fract_x
_atom_site_fract_y
_atom_site_fract_z
Ba1 Ba 0.000 0.000 0.000
Zn1 Zn 0.799 0.462 0.611
Zn2 Zn 0.872 0.201 0.389
Zn3 Zn 0.538 0.872 0.389
Zn4 Zn 0.404 0.404 0.788
Zn5 Zn 0.596 0.596 0.212
Zn6 Zn 0.462 0.128 0.611
Zn7 Zn 0.128 0.799 0.611
Zn8 Zn 0.201 0.538 0.389
P1 P 0.905 0.569 0.286
P2 P 0.760 0.095 0.714
P3 P 0.431 0.760 0.714
P4 P 0.569 0.240 0.286
P5 P 0.240 0.905 0.286
P6 P 0.095 0.431 0.714
```

The formation energy from the elements comes out at -3.4 eV/f.u. Its space group is No. 148.

# 2
Here is crystalline UPa2Ru at its relaxed geometry from the Alexandria database. Energies are from PBE.

```
data_UPa2Ru
_cell_length_a 3.506
_cell_length_b 3.506
_cell_length_c 6.865
_cell_angle_alpha 90.00
_cell_angle_beta 90.00
_cell_angle_gamma 90.00
_space_group_name_H-M_alt 'P 1'
_space_group_IT_number 1
loop_
_space_group_symop_operation_xyz
'x,y,z'
loop_
_atom_site_label
_atom_site_type_symbol
_atom_site_fract_x
_atom_site_fract_y
_atom_site_fract_z
Ru1 Ru 0.500 0.500 0.500
Pa1 Pa 0.000 0.000 0.738
Pa2 Pa 0.000 0.000 0.262
U1 U 0.500 0.500 0.000
```

The formation energy from the elements comes out at -0.3 eV/f.u. Its space group is No. 123. Its energy relative to the lowest polymorph listed for this composition is 82 meV/atom.

# 3
Here is crystalline Li3PdAu at its relaxed geometry from the Alexandria database. Energies are from PBE.

```
data_Li3PdAu
_cell_length_a 7.119
_cell_length_b 6.809
_cell_length_c 6.809
_cell_angle_alpha 83.32
_cell_angle_beta 94.67
_cell_angle_gamma 94.67
_space_group_name_H-M_alt 'P 1'
_space_group_IT_number 1
loop_
_space_group_symop_operation_xyz
'x,y,z'
loop_
_atom_site_label
_atom_site_type_symbol
_atom_site_fract_x
_atom_site_fract_y
_atom_site_fract_z
Li1 Li 0.613 0.197 0.988
Li2 Li 0.887 0.012 0.803
Li3 Li 0.387 0.803 0.012
Li4 Li 0.113 0.988 0.197
Li5 Li 0.745 0.640 0.864
Li6 Li 0.755 0.136 0.360
Li7 Li 0.255 0.360 0.136
Li8 Li 0.245 0.864 0.640
Li9 Li 0.586 0.514 0.311
Li10 Li 0.914 0.689 0.486
Li11 Li 0.414 0.486 0.689
Li12 Li 0.086 0.311 0.514
Pd1 Pd 0.916 0.467 0.179
Pd2 Pd 0.584 0.821 0.533
Pd3 Pd 0.084 0.533 0.821
Pd4 Pd 0.416 0.179 0.467
Au1 Au 0.250 0.151 0.849
Au2 Au 0.750 0.849 0.151
Au3 Au 0.250 0.643 0.357
Au4 Au 0.750 0.357 0.643
```

The formation energy from the elements comes out at -1.7 eV/f.u. Its space group is No. 15. Its energy relative to the lowest polymorph listed for this composition is 95 meV/atom.

# 4
Here is crystalline Li4Dy3YSe8 at its relaxed geometry from the Alexandria database. Energies are from PBE.

```
data_Li4Dy3YSe8
_cell_length_a 8.140
_cell_length_b 8.023
_cell_length_c 8.139
_cell_angle_alpha 120.51
_cell_angle_beta 120.00
_cell_angle_gamma 90.00
_space_group_name_H-M_alt 'P 1'
_space_group_IT_number 1
loop_
_space_group_symop_operation_xyz
'x,y,z'
loop_
_atom_site_label
_atom_site_type_symbol
_atom_site_fract_x
_atom_site_fract_y
_atom_site_fract_z
Li1 Li 0.500 0.000 0.000
Li2 Li 0.500 0.000 0.500
Li3 Li 0.000 0.000 0.000
Li4 Li 0.000 0.000 0.500
Dy1 Dy 0.500 0.500 0.000
Dy2 Dy 0.500 0.500 0.500
Dy3 Dy 0.000 0.500 0.500
Y1 Y 0.000 0.500 0.000
Se1 Se 0.251 0.753 0.002
Se2 Se 0.251 0.753 0.503
Se3 Se 0.249 0.247 0.498
Se4 Se 0.751 0.753 0.002
Se5 Se 0.249 0.247 0.998
Se6 Se 0.751 0.753 0.502
Se7 Se 0.749 0.247 0.497
Se8 Se 0.749 0.247 0.998
```

The total energy comes out at -5.19 eV/atom. Its space group is No. 166.

# 5
Here is crystalline In4Ag5Hg at its relaxed geometry from the Alexandria database. Energies are from PBE.

```
data_In4Ag5Hg
_cell_length_a 5.076
_cell_length_b 7.276
_cell_length_c 7.934
_cell_angle_alpha 74.04
_cell_angle_beta 64.08
_cell_angle_gamma 55.42
_space_group_name_H-M_alt 'P 1'
_space_group_IT_number 1
loop_
_space_group_symop_operation_xyz
'x,y,z'
loop_
_atom_site_label
_atom_site_type_symbol
_atom_site_fract_x
_atom_site_fract_y
_atom_site_fract_z
In1 In 0.473 0.707 0.885
In2 In 0.579 0.247 0.567
In3 In 0.746 0.774 0.430
In4 In 0.249 0.290 0.288
Ag1 Ag 0.154 0.426 0.935
Ag2 Ag 0.107 0.773 0.637
Ag3 Ag 0.995 0.076 0.179
Ag4 Ag 0.511 0.591 0.265
Ag5 Ag 0.718 0.908 0.029
Hg1 Hg 0.958 0.208 0.785
```

The formation energy from the elements comes out at 0.2 eV/f.u. Its space group is No. 1.

# 6
Here is crystalline Tm3CoSb2 at its relaxed geometry from the Alexandria database. Energies are from PBE.

```
data_Tm3CoSb2
_cell_length_a 4.268
_cell_length_b 11.604
_cell_length_c 11.667
_cell_angle_alpha 90.00
_cell_angle_beta 90.00
_cell_angle_gamma 90.00
_space_group_name_H-M_alt 'P 1'
_space_group_IT_number 1
loop_
_space_group_symop_operation_xyz
'x,y,z'
loop_
_atom_site_label
_atom_site_type_symbol
_atom_site_fract_x
_atom_site_fract_y
_atom_site_fract_z
Tm1 Tm 0.250 0.374 0.059
Tm2 Tm 0.750 0.626 0.941
Tm3 Tm 0.750 0.874 0.441
Tm4 Tm 0.250 0.126 0.559
Tm5 Tm 0.250 0.708 0.233
Tm6 Tm 0.750 0.292 0.767
Tm7 Tm 0.750 0.208 0.267
Tm8 Tm 0.250 0.792 0.733
Tm9 Tm 0.250 0.450 0.384
Tm10 Tm 0.750 0.550 0.616
Tm11 Tm 0.750 0.950 0.116
Tm12 Tm 0.250 0.050 0.884
Co1 Co 0.250 0.143 0.127
Co2 Co 0.750 0.857 0.873
Co3 Co 0.750 0.643 0.373
Co4 Co 0.250 0.357 0.627
Sb1 Sb 0.250 0.692 0.492
Sb2 Sb 0.750 0.308 0.508
Sb3 Sb 0.750 0.192 0.008
Sb4 Sb 0.250 0.808 0.992
Sb5 Sb 0.250 0.008 0.307
Sb6 Sb 0.750 0.992 0.693
Sb7 Sb 0.750 0.508 0.193
Sb8 Sb 0.250 0.492 0.807
```

The total energy comes out at -5.58 eV/atom. Its space group is No. 62.

# 7
Here is crystalline InHg9Pb2 at its relaxed geometry from the Alexandria database. Energies are from PBE.

```
data_InHg9Pb2
_cell_length_a 5.733
_cell_length_b 5.733
_cell_length_c 10.086
_cell_angle_alpha 90.00
_cell_angle_beta 90.00
_cell_angle_gamma 90.00
_space_group_name_H-M_alt 'P 1'
_space_group_IT_number 1
loop_
_space_group_symop_operation_xyz
'x,y,z'
loop_
_atom_site_label
_atom_site_type_symbol
_atom_site_fract_x
_atom_site_fract_y
_atom_site_fract_z
In1 In 0.000 0.000 0.000
Hg1 Hg 0.500 0.500 0.000
Hg2 Hg 0.500 0.500 0.333
Hg3 Hg 0.500 0.500 0.667
Hg4 Hg 0.500 0.000 0.164
Hg5 Hg 0.500 0.000 0.500
Hg6 Hg 0.500 0.000 0.836
Hg7 Hg 0.000 0.500 0.164
Hg8 Hg 0.000 0.500 0.500
Hg9 Hg 0.000 0.500 0.836
Pb1 Pb 0.000 0.000 0.330
Pb2 Pb 0.000 0.000 0.670
```

The formation energy from the elements comes out at 0.4 eV/f.u. Its space group is No. 123.

# 8
Here is crystalline K2AuIO at its relaxed geometry from the Alexandria database. Energies are from PBE.

```
data_K2AuIO
_cell_length_a 5.854
_cell_length_b 5.854
_cell_length_c 4.100
_cell_angle_alpha 90.00
_cell_angle_beta 90.00
_cell_angle_gamma 90.00
_space_group_name_H-M_alt 'P 1'
_space_group_IT_number 1
loop_
_space_group_symop_operation_xyz
'x,y,z'
loop_
_atom_site_label
_atom_site_type_symbol
_atom_site_fract_x
_atom_site_fract_y
_atom_site_fract_z
I1 I 0.500 0.500 0.500
K1 K 0.000 0.500 0.000
K2 K 0.500 0.000 0.000
Au1 Au 0.000 0.000 0.500
O1 O 0.000 0.000 0.000
```

The total energy comes out at -3.38 eV/atom. Its space group is No. 123.

# 9
Here is crystalline YSiAs2Br at its relaxed geometry from the Alexandria database. Energies are from PBE.

```
data_YSiAs2Br
_cell_length_a 5.509
_cell_length_b 5.509
_cell_length_c 5.342
_cell_angle_alpha 90.00
_cell_angle_beta 90.00
_cell_angle_gamma 90.00
_space_group_name_H-M_alt 'P 1'
_space_group_IT_number 1
loop_
_space_group_symop_operation_xyz
'x,y,z'
loop_
_atom_site_label
_atom_site_type_symbol
_atom_site_fract_x
_atom_site_fract_y
_atom_site_fract_z
Y1 Y 0.000 0.000 0.000
As1 As 0.000 0.500 0.000
As2 As 0.500 0.000 0.000
Si1 Si 0.500 0.500 0.500
Br1 Br 0.000 0.000 0.500
```

Its space group is No. 123. Its energy relative to the lowest polymorph listed for this composition is 529 meV/atom.

# 10
Here is crystalline ScPaPt at its relaxed geometry from the Alexandria database. Energies are from PBE.

```
data_ScPaPt
_cell_length_a 3.250
_cell_length_b 4.737
_cell_length_c 4.737
_cell_angle_alpha 120.00
_cell_angle_beta 90.00
_cell_angle_gamma 90.00
_space_group_name_H-M_alt 'P 1'
_space_group_IT_number 1
loop_
_space_group_symop_operation_xyz
'x,y,z'
loop_
_atom_site_label
_atom_site_type_symbol
_atom_site_fract_x
_atom_site_fract_y
_atom_site_fract_z
Sc1 Sc 0.636 0.667 0.333
Pa1 Pa 0.033 0.000 0.000
Pt1 Pt 0.332 0.333 0.667
```

The formation energy from the elements comes out at -1.2 eV/f.u. Its space group is No. 156. Its energy relative to the lowest polymorph listed for this composition is 165 meV/atom.